Computed, not measured: a PBEsol-optimized structure of Na2La2Pb at the meta-GGA SCAN level of DFT.

Values from the calculation:
Final energy   -34.234 eV/atom
Calculated volume   172.8 Å³ per cell
DFT formation energy   -0.1502 eV/atom
Space-group type   I4/mmm

```
Na2La2Pb
1.0
4.2345 0.0000 0.0000
0.0000 4.2345 0.0000
-2.1173 -2.1173 9.6343
Na La Pb
2 2 1
direct
0.2500 0.7500 0.5000 Na
0.7500 0.2500 0.5000 Na
0.4209 0.4209 0.8419 La
0.5791 0.5791 0.1581 La
0.0000 0.0000 0.0000 Pb
```